# 1
First-principles (PBE-GGA) data for an optimized crystal structure of PaTl2SnO8, as listed in Alexandria via LeMat-Bulk.

Calculated values
Energy relative to the elements, uncorrected   -152 kJ per mole of atoms
Size of the total moment   0.6 μB/f.u.

Unit cell a=5.088 b=5.088 c=6.875 alpha=90.00 beta=90.00 gamma=91.21
Fractional positions:
Pa 0.000 0.000 0.000
Tl 0.500 0.500 0.257
Tl 0.500 0.500 0.743
Sn 0.000 0.000 0.500
O 0.182 0.818 0.257
O 0.182 0.818 0.743
O 0.290 0.290 0.500
O 0.300 0.300 0.000
O 0.700 0.700 0.000
O 0.710 0.710 0.500
O 0.818 0.182 0.257
O 0.818 0.182 0.743

***

# 2
First-principles (PBE-GGA) data for an optimized crystal structure of PaTl2Sn2O6, as listed in Alexandria via LeMat-Bulk.

Calculated values
Energy relative to the elements, uncorrected   -174 kJ per mole of atoms
Size of the total moment   0.0 μB/f.u.

Unit cell a=5.940 b=5.940 c=7.746 alpha=111.09 beta=111.09 gamma=62.00
Fractional positions:
Pa 0.000 0.000 0.000
Tl 0.225 0.225 0.700
Tl 0.775 0.775 0.300
Sn 0.428 0.428 0.275
Sn 0.572 0.572 0.725
O 0.216 0.702 0.785
O 0.227 0.227 0.048
O 0.298 0.784 0.215
O 0.702 0.216 0.785
O 0.773 0.773 0.952
O 0.784 0.298 0.215

***

# 3
First-principles (PBE-GGA) data for an optimized crystal structure of PaTl2Sn3O12, as listed in Alexandria via LeMat-Bulk.

Calculated values
Energy relative to the elements, uncorrected   -124 kJ per mole of atoms
Size of the total moment   5.0 μB/f.u.

Unit cell a=7.851 b=7.851 c=7.851 alpha=57.40 beta=57.40 gamma=57.40
Fractional positions:
Pa 0.000 0.000 0.000
Tl 0.399 0.399 0.399
Tl 0.601 0.601 0.601
Sn 0.000 0.000 0.500
Sn 0.000 0.500 0.000
Sn 0.500 0.000 0.000
O 0.070 0.070 0.673
O 0.070 0.673 0.070
O 0.084 0.671 0.671
O 0.327 0.930 0.930
O 0.329 0.329 0.916
O 0.329 0.916 0.329
O 0.671 0.084 0.671
O 0.671 0.671 0.084
O 0.673 0.070 0.070
O 0.916 0.329 0.329
O 0.930 0.327 0.930
O 0.930 0.930 0.327

***

# 4
First-principles (PBE-GGA) data for an optimized crystal structure of PaTl3Sn2O9, as listed in Alexandria via LeMat-Bulk.

Calculated values
Energy relative to the elements, uncorrected   -155 kJ per mole of atoms
Size of the total moment   0.0 μB/f.u.

Unit cell a=5.952 b=5.952 c=7.374 alpha=90.00 beta=90.00 gamma=120.00
Fractional positions:
Pa 0.000 0.000 0.000
Tl 0.000 0.000 0.500
Tl 0.333 0.667 0.202
Tl 0.667 0.333 0.798
Sn 0.333 0.667 0.664
Sn 0.667 0.333 0.336
O 0.000 0.500 0.500
O 0.168 0.337 0.825
O 0.168 0.832 0.825
O 0.337 0.168 0.175
O 0.500 0.000 0.500
O 0.500 0.500 0.500
O 0.663 0.832 0.825
O 0.832 0.168 0.175
O 0.832 0.663 0.175